Material: RbB3Sb
Method: DFT, PBE
State: relaxed

Properties
Formation energy from raw total energies = 3.18 eV/atom
Crystal system = cubic
Distance to the lowest polymorph of the same formula = 610 kJ/mol of formula units
Spin magnetization = 0.5 μB per formula unit

a = 4.895 Å, b = 4.895 Å, c = 4.895 Å
α = 90.00°, β = 90.00°, γ = 90.00°
Each line ends with the local moment (μB).
Fractional coordinates of all 5 atoms:
B 0.500 0.000 0.000  0.18
B 0.000 0.000 0.500  0.01
B 0.000 0.500 0.000  0.04
Sb 0.500 0.500 0.500  -0.02
Rb 0.000 0.000 0.000  0.07

=====

Material: NiIr2Os
Method: DFT, PBE
State: relaxed

Properties
Crystal system = monoclinic
Energy of formation from the pure elements = 4 kJ per mole of atoms
Distance to the lowest polymorph of the same formula = 15 kJ/mol of formula units
Spin magnetization = 0.0 μB per formula unit

a = 4.659 Å, b = 4.659 Å, c = 4.633 Å
α = 80.55°, β = 80.55°, γ = 33.61°
Fractional coordinates of all 4 atoms:
Ir 0.500 0.500 0.502
Ir 0.000 0.000 0.998
Os 0.250 0.250 0.250
Ni 0.750 0.750 0.750

=====

Material: Tb7NdDy4
Method: DFT, PBE
State: relaxed

Properties
Crystal system = monoclinic
Energy of formation from the pure elements = 26 kJ per mole of atoms
Distance to the lowest polymorph of the same formula = 310 kJ/mol of formula units
Spin magnetization = 0.0 μB per formula unit

a = 5.901 Å, b = 11.550 Å, c = 6.711 Å
α = 83.15°, β = 63.92°, γ = 75.20°
Fractional coordinates of all 12 atoms:
Tb 0.789 0.922 0.499
Tb 0.211 0.078 0.501
Tb 0.060 0.671 0.209
Tb 0.633 0.497 0.237
Tb 0.500 0.000 0.000
Tb 0.940 0.329 0.791
Tb 0.367 0.503 0.763
Dy 0.752 0.682 0.814
Dy 0.634 0.225 0.507
Dy 0.366 0.775 0.493
Dy 0.248 0.318 0.186
Nd 0.000 0.000 0.000